No. 1
A plane-wave DFT calculation with PBE-GGA was carried out for a relaxed structure of SrBeBiO2.

Values from the calculation:
The uncorrected formation energy is 232.1 meV per atom.

Lattice parameters (Å, degrees): 4.4112 4.4112 7.5577 90.00 90.00 90.00
With the nearest neighbours (Å) after each atom.
Sites, in units of the cell vectors:
Sr 0.0000 0.0000 0.0000  4 O 2.21
Be 0.5000 0.5000 0.5000  4 Bi 3.12
Bi 0.0000 0.0000 0.5000  4 Be 3.12
O 0.0000 0.5000 0.0000  2 Sr 2.21
O 0.5000 0.0000 0.0000  2 Sr 2.21

No. 2
A plane-wave DFT calculation with PBE-GGA was carried out for a relaxed structure of Ac2PrPt2I2.

Values from the calculation:
The uncorrected formation energy is -1019.1 meV per atom.

Lattice parameters (Å, degrees): 5.4280 5.4280 17.4800 90.00 90.00 90.00
With the nearest neighbours (Å) after each atom.
Sites, in units of the cell vectors:
Ac 0.0000 0.0000 0.1080  4 Pt 3.31, 1 I 3.45
Ac 0.0000 0.0000 0.8920  4 Pt 3.31, 1 I 3.45
Ac 0.5000 0.5000 0.3920  4 Pt 3.31, 1 I 3.45
Ac 0.5000 0.5000 0.6080  4 Pt 3.31, 1 I 3.45
Pr 0.0000 0.0000 0.5000  4 Pt 2.71
Pr 0.5000 0.5000 0.0000  4 Pt 2.71
Pt 0.0000 0.5000 0.0000  2 Pr 2.71
Pt 0.0000 0.5000 0.5000  2 Pr 2.71
Pt 0.5000 0.0000 0.0000  2 Pr 2.71
Pt 0.5000 0.0000 0.5000  2 Pr 2.71
I 0.0000 0.0000 0.3054  1 Pr 3.40, 1 Ac 3.45
I 0.0000 0.0000 0.6946  1 Pr 3.40, 1 Ac 3.45
I 0.5000 0.5000 0.1946  1 Pr 3.40, 1 Ac 3.45
I 0.5000 0.5000 0.8054  1 Pr 3.40, 1 Ac 3.45

No. 3
A plane-wave DFT calculation with PBE-GGA was carried out for a relaxed structure of AcPu2Hg.

Values from the calculation:
The formation energy comes out at 0.053 eV per atom. The value obtained for the relative energy among the computed polymorphs is 0 meV/atom.

Lattice parameters (Å, degrees): 4.6930 4.6930 5.4383 90.00 90.00 90.00
With the nearest neighbours (Å) after each atom.
Sites, in units of the cell vectors:
Ac 0.0000 0.0000 0.0000  4 Hg 3.32, 8 Pu 3.59
Pu 0.0000 0.5000 0.5000  4 Pu 3.32, 4 Hg 3.59, 4 Ac 3.59
Pu 0.5000 0.0000 0.5000  4 Pu 3.32, 4 Hg 3.59, 4 Ac 3.59
Hg 0.5000 0.5000 0.0000  4 Ac 3.32, 8 Pu 3.59

| no. | final energy (eV/atom) |
| --- | --- |
| 1 | -3.6089 |
| 2 | -5.0445 |
| 3 | -8.2151 |